No. 1
LaInFe2 | GGA-PBE | optimized geometry

Cell and atoms, written as POSCAR:
```
LaInFe2
1.0
4.733 0.000 0.000
0.000 4.733 0.000
0.000 0.000 3.438
La In Fe
1 1 2
direct
0.000 0.000 0.000
0.500 0.500 0.000
0.000 0.500 0.500
0.500 0.000 0.500
```

Space-group type: No. 123
Total DFT energy (no corrections) (eV per formula unit): -23.34

No. 2
Tm3Co2Ge2 | GGA-PBE | optimized geometry

Cell and atoms, written as POSCAR:
```
Tm3Co2Ge2
1.0
5.474 0.000 0.000
0.000 7.609 0.000
0.000 0.000 12.614
Tm Co Ge
12 8 8
direct
0.127 0.243 0.250
0.127 0.257 0.750
0.354 0.602 0.100
0.354 0.602 0.400
0.354 0.898 0.600
0.354 0.898 0.900
0.646 0.102 0.100
0.646 0.102 0.400
0.646 0.398 0.600
0.646 0.398 0.900
0.873 0.743 0.250
0.873 0.757 0.750
0.131 0.534 0.589
0.131 0.534 0.911
0.131 0.966 0.089
0.131 0.966 0.411
0.869 0.034 0.589
0.869 0.034 0.911
0.869 0.466 0.089
0.869 0.466 0.411
0.135 0.250 0.000
0.135 0.250 0.500
0.360 0.607 0.750
0.360 0.893 0.250
0.640 0.107 0.750
0.640 0.393 0.250
0.865 0.750 0.000
0.865 0.750 0.500
```

Space-group type: No. 57
Total DFT energy (no corrections) (eV per formula unit): -41.36

No. 3
CaTb5Nd2 | GGA-PBE | optimized geometry

Cell and atoms, written as POSCAR:
```
CaTb5Nd2
1.0
3.638 0.000 0.000
0.000 11.328 0.000
0.000 0.000 13.255
Ca Tb Nd
2 10 4
direct
0.000 0.000 0.000
0.500 0.500 0.500
0.000 0.225 0.366
0.000 0.225 0.634
0.000 0.500 0.000
0.000 0.775 0.366
0.000 0.775 0.634
0.500 0.000 0.500
0.500 0.275 0.134
0.500 0.275 0.866
0.500 0.725 0.134
0.500 0.725 0.866
0.000 0.500 0.258
0.000 0.500 0.742
0.500 0.000 0.242
0.500 0.000 0.758
```

Space-group type: No. 71
Total DFT energy (no corrections) (eV per formula unit): -34.24